A:
Computed, not measured: a relaxed Li8Cd3Ag crystal at the PBE-GGA level of DFT.

abc: 7.099 7.099 7.099
angles: 93.25 118.14 118.14
Positions (direct):
Li1 0.487 0.228 0.228
Li2 0.513 0.741 0.741
Li3 0.000 0.772 0.259
Li4 0.000 0.259 0.772
Li5 0.262 0.371 0.371
Li6 0.738 0.108 0.108
Li7 0.000 0.629 0.892
Li8 0.000 0.892 0.629
Cd1 0.500 0.750 0.250
Cd2 0.500 0.250 0.750
Cd3 0.000 0.500 0.500
Ag1 0.000 0.000 0.000

Values from the calculation:
- Fermi-level density of states (states/eV/f.u.) = 3.34

B:
Computed, not measured: a relaxed Li8Cd3Ag crystal at the PBE-GGA level of DFT.

abc: 7.762 7.822 7.747
angles: 50.09 107.16 129.96
Positions (direct):
Li1 0.118 0.000 0.365
Li2 0.361 0.483 0.639
Li3 0.878 0.517 0.122
Li4 0.636 0.000 0.882
Li5 0.882 0.000 0.635
Li6 0.638 0.516 0.361
Li7 0.122 0.484 0.877
Li8 0.365 0.000 0.118
Cd1 0.749 0.500 0.750
Cd2 0.250 0.500 0.250
Cd3 0.500 0.000 0.500
Ag1 0.000 0.000 0.000

Values from the calculation:
- Fermi-level density of states (states/eV/f.u.) = 2.99

B is preferred energetically. Next in line: 11 meV/atom higher.